Entry 1:
Entry from Alexandria via LeMat-Bulk: SrS after structural relaxation (GGA-PBE).

abc: 11.193 11.193 4.976
angles: 90.00 90.00 120.00
Fractional coordinates of all 12 atoms:
1 Sr 0.408 0.074 0.250
2 Sr 0.334 0.408 0.750
3 Sr 0.592 0.926 0.750
4 Sr 0.926 0.334 0.250
5 Sr 0.074 0.666 0.750
6 Sr 0.666 0.592 0.250
7 S 0.330 0.923 0.750
8 S 0.407 0.330 0.250
9 S 0.077 0.407 0.750
10 S 0.593 0.670 0.750
11 S 0.923 0.593 0.250
12 S 0.670 0.077 0.250

## Properties
The space-group type is No. 176. Its calculated density is 2.21 g/cm3. The raw formation energy comes out at -1853 meV/atom. As for the density of states at the Fermi level: 0.000 states/eV/atom. The calculation puts the total energy at -0.175 Ha/atom. The value obtained for the energy relative to the lowest polymorph listed for this composition is 0.298 eV/atom.

Entry 2:
Entry from Alexandria via LeMat-Bulk: Fe2Rh after structural relaxation (GGA-PBE).

abc: 4.207 6.451 2.957
angles: 76.75 90.00 90.00
Each line ends with the local moment (μB).
Fractional coordinates of all 6 atoms:
1 Fe 0.000 0.680 0.660  2.99
2 Fe 0.500 0.320 0.840  2.99
3 Fe 0.000 0.997 0.002  2.79
4 Fe 0.500 0.003 0.498  2.79
5 Rh 0.500 0.665 0.167  0.95
6 Rh 0.000 0.335 0.333  0.95

## Properties
The space-group type is No. 63. Its calculated density is 9.12 g/cm3. As for the density of states at the Fermi level: 0.575 states/eV/atom. The calculation puts the total energy at -0.299 Ha/atom. The calculation puts the formation energy at -0.041 eV per atom.

Entry 3:
Entry from Alexandria via LeMat-Bulk: ErMgCuPd after structural relaxation (GGA-PBE).

abc: 4.721 4.721 4.721
angles: 60.00 60.00 60.00
Fractional coordinates of all 4 atoms:
1 Mg 0.500 0.500 0.500
2 Cu 0.250 0.250 0.250
3 Pd 0.750 0.750 0.750
4 Er 0.000 0.000 0.000

## Properties
The space-group type is No. 216. Its calculated density is 8.07 g/cm3. As for the density of states at the Fermi level: 0.574 states/eV/atom. The calculation puts the total energy at -0.161 Ha/atom. The calculation puts the formation energy at -0.513 eV per atom.